DFT (GGA-PBE) results for a geometry-optimized BeVCr2 structure.

Space-group type: No. 123
Volume (Å³/f.u.): 44.8
Crystal system: tetragonal
Raw total energy (eV/atom): -8.006

a b c (Å): 2.9496 2.9496 5.1464
angles (deg): 90.00 90.00 90.00
With the nearest neighbours (Å) after each atom.
Fractional positions:
Be (0.0000, 0.0000, 0.0000)  8 Cr 2.36, 2 V 2.57
V (0.0000, 0.0000, 0.5000)  8 Cr 2.55, 2 Be 2.57
Cr (0.5000, 0.5000, 0.2145)  1 Cr 2.21, 4 Be 2.36
Cr (0.5000, 0.5000, 0.7855)  1 Cr 2.21, 4 Be 2.36

DFT (GGA-PBE) results for a geometry-optimized SrMg10Ag2 structure.

Space-group type: No. 69
Volume (Å³/f.u.): 305.7
Crystal system: orthorhombic
Raw total energy (eV/atom): -1.898

a b c (Å): 10.3012 7.8352 7.8307
angles (deg): 82.23 48.90 48.87
With the nearest neighbours (Å) after each atom.
Fractional positions:
Sr (0.0000, 0.0000, 0.0000)  16 Mg 3.61-3.92, 4 Ag 3.92
Mg (0.0000, 0.5000, 0.0000)  6 Mg 2.88-3.04
Mg (0.0122, 0.6499, 0.3501)  2 Ag 3.02, 6 Mg 3.10-3.23
Mg (0.2824, 0.5083, 0.4917)  2 Ag 2.90, 6 Mg 3.04-3.19
Mg (0.3501, 0.9878, 0.0122)  2 Ag 3.02, 6 Mg 3.10-3.23
Mg (0.4917, 0.7176, 0.2824)  2 Ag 2.90, 6 Mg 3.04-3.19
Mg (0.5000, 0.0000, 0.5000)  6 Mg 2.88-3.04
Mg (0.5083, 0.2824, 0.7176)  2 Ag 2.90, 6 Mg 3.04-3.19
Mg (0.6499, 0.0122, 0.9878)  2 Ag 3.02, 6 Mg 3.10-3.23
Mg (0.7176, 0.4917, 0.5083)  2 Ag 2.90, 6 Mg 3.04-3.19
Mg (0.9878, 0.3501, 0.6499)  2 Ag 3.02, 6 Mg 3.10-3.23
Ag (0.0000, 0.0000, 0.5000)  2 Ag 2.88, 8 Mg 2.90-3.02
Ag (0.5000, 0.5000, 0.0000)  2 Ag 2.88, 8 Mg 2.90-3.02

DFT (GGA-PBE) results for a geometry-optimized IrRu2Pb structure.

Space-group type: No. 71
Volume (Å³/f.u.): 67.2
Crystal system: orthorhombic
Raw total energy (eV/atom): -7.110

a b c (Å): 5.5655 5.5655 5.5655
angles (deg): 150.00 128.11 61.10
With the nearest neighbours (Å) after each atom.
Fractional positions:
Ir (0.0000, 0.0000, 0.0000)  4 Ru 2.67, 4 Pb 2.83, 2 Ir 2.88
Ru (0.2346, 0.7346, 0.5000)  2 Ir 2.67, 6 Ru 2.84-2.88, 2 Pb 2.92
Ru (0.7654, 0.2654, 0.5000)  2 Ir 2.67, 6 Ru 2.84-2.88, 2 Pb 2.92
Pb (0.5000, 0.5000, 0.0000)  4 Ir 2.83, 2 Pb 2.88, 4 Ru 2.92

DFT (GGA-PBE) results for a geometry-optimized CaPm2I8 structure.

Space-group type: No. 12
Volume (Å³/f.u.): 671.8
Crystal system: monoclinic
Raw total energy (eV/atom): -3.496

a b c (Å): 9.5974 9.5974 7.8236
angles (deg): 97.44 97.44 70.77
With the nearest neighbours (Å) after each atom.
Fractional positions:
Ca (0.0000, 0.0000, 0.0000)  6 I 3.17-3.19
Pm (0.1817, 0.1817, 0.6467)  4 I 2.88-3.00
Pm (0.8183, 0.8183, 0.3533)  4 I 2.88-3.00
I (0.1161, 0.7197, 0.2167)  1 Pm 2.99, 1 Ca 3.17
I (0.1788, 0.1788, 0.2620)  1 Pm 3.00, 1 Ca 3.19
I (0.2803, 0.8839, 0.7833)  1 Pm 2.99, 1 Ca 3.17
I (0.3615, 0.3615, 0.8019)  1 Pm 2.88
I (0.6385, 0.6385, 0.1981)  1 Pm 2.88
I (0.7197, 0.1161, 0.2167)  1 Pm 2.99, 1 Ca 3.17
I (0.8212, 0.8212, 0.7380)  1 Pm 3.00, 1 Ca 3.19
I (0.8839, 0.2803, 0.7833)  1 Pm 2.99, 1 Ca 3.17

DFT (GGA-PBE) results for a geometry-optimized Li3GaRh2 structure.

Space-group type: No. 15
Volume (Å³/f.u.): 80.3
ΔE to the lowest computed polymorph (eV per atom): 0.000
Crystal system: monoclinic
Raw total energy (eV/atom): -4.272

a b c (Å): 4.6307 4.6307 8.3401
angles (deg): 100.66 100.66 108.74
With the nearest neighbours (Å) after each atom.
Fractional positions:
Li (0.0413, 0.2911, 0.5818)  5 Rh 2.62-2.70, 5 Li 2.62-2.68, 2 Ga 2.67
Li (0.1244, 0.8756, 0.7500)  6 Li 2.62-2.68, 4 Rh 2.65, 2 Ga 2.70
Li (0.2911, 0.0413, 0.0818)  5 Rh 2.62-2.70, 5 Li 2.62-2.68, 2 Ga 2.67
Li (0.7089, 0.9587, 0.9182)  5 Rh 2.62-2.70, 5 Li 2.62-2.68, 2 Ga 2.67
Li (0.8756, 0.1244, 0.2500)  6 Li 2.62-2.68, 4 Rh 2.65, 2 Ga 2.70
Li (0.9587, 0.7089, 0.4182)  5 Rh 2.62-2.70, 5 Li 2.62-2.68, 2 Ga 2.67
Ga (0.3747, 0.6253, 0.2500)  6 Rh 2.65-2.66, 6 Li 2.67-2.70
Ga (0.6253, 0.3747, 0.7500)  6 Rh 2.65-2.66, 6 Li 2.67-2.70
Rh (0.2072, 0.4571, 0.9132)  7 Li 2.62-2.70, 3 Ga 2.65-2.66, 2 Rh 2.69
Rh (0.4571, 0.2072, 0.4132)  7 Li 2.62-2.70, 3 Ga 2.65-2.66, 2 Rh 2.69
Rh (0.5429, 0.7928, 0.5868)  7 Li 2.62-2.70, 3 Ga 2.65-2.66, 2 Rh 2.69
Rh (0.7928, 0.5429, 0.0868)  7 Li 2.62-2.70, 3 Ga 2.65-2.66, 2 Rh 2.69

DFT (GGA-PBE) results for a geometry-optimized YTh2Fe structure.

Space-group type: No. 62
Volume (Å³/f.u.): 106.6
ΔE to the lowest computed polymorph (eV per atom): 0.000
Crystal system: orthorhombic
Raw total energy (eV/atom): -7.505

a b c (Å): 7.0112 9.7803 6.2184
angles (deg): 90.00 90.00 90.00
With the nearest neighbours (Å) after each atom.
Fractional positions:
Y (0.0473, 0.2500, 0.1511)  2 Fe 2.99-3.10
Y (0.4527, 0.7500, 0.6511)  2 Fe 2.99-3.10
Y (0.5473, 0.2500, 0.3489)  2 Fe 2.99-3.10
Y (0.9527, 0.7500, 0.8489)  2 Fe 2.99-3.10
Th (0.1683, 0.0692, 0.6728)  2 Fe 2.60-2.72
Th (0.1683, 0.4308, 0.6728)  2 Fe 2.60-2.72
Th (0.3317, 0.5692, 0.1728)  2 Fe 2.60-2.72
Th (0.3317, 0.9308, 0.1728)  2 Fe 2.60-2.72
Th (0.6683, 0.0692, 0.8272)  2 Fe 2.60-2.72
Th (0.6683, 0.4308, 0.8272)  2 Fe 2.60-2.72
Th (0.8317, 0.5692, 0.3272)  2 Fe 2.60-2.72
Th (0.8317, 0.9308, 0.3272)  2 Fe 2.60-2.72
Fe (0.1002, 0.7500, 0.3790)  4 Th 2.60-2.72
Fe (0.3998, 0.2500, 0.8790)  4 Th 2.60-2.72
Fe (0.6002, 0.7500, 0.1210)  4 Th 2.60-2.72
Fe (0.8998, 0.2500, 0.6210)  4 Th 2.60-2.72

DFT (GGA-PBE) results for a geometry-optimized LiNdI5 structure.

Space-group type: No. 15
Volume (Å³/f.u.): 304.3
Crystal system: monoclinic
Raw total energy (eV/atom): -3.067

a b c (Å): 8.4705 8.4705 10.2058
angles (deg): 113.41 113.41 72.88
With the nearest neighbours (Å) after each atom.
Fractional positions:
Li (0.0000, 0.0000, 0.0000)  4 I 2.76-2.96
Li (0.0000, 0.0000, 0.5000)  4 I 2.76-2.96
Nd (0.4298, 0.5702, 0.7500)  7 I 3.09-3.28
Nd (0.5702, 0.4298, 0.2500)  7 I 3.09-3.28
I (0.1051, 0.8949, 0.7500)  2 Li 2.76
I (0.2282, 0.2592, 0.6008)  1 Li 2.96, 1 Nd 3.09
I (0.2592, 0.2282, 0.1008)  1 Li 2.96, 1 Nd 3.09
I (0.3052, 0.6686, 0.4397)  2 Nd 3.25-3.28, 1 Li 3.25
I (0.3314, 0.6948, 0.0603)  2 Nd 3.25-3.28, 1 Li 3.25
I (0.6686, 0.3052, 0.9397)  2 Nd 3.25-3.28, 1 Li 3.25
I (0.6948, 0.3314, 0.5603)  2 Nd 3.25-3.28, 1 Li 3.25
I (0.7408, 0.7718, 0.8992)  1 Li 2.96, 1 Nd 3.09
I (0.7718, 0.7408, 0.3992)  1 Li 2.96, 1 Nd 3.09
I (0.8949, 0.1051, 0.2500)  2 Li 2.76

Q: Which of these has the lowest volume?
A: BeVCr2

Copy entry 7 word for word.
DFT (GGA-PBE) results for a geometry-optimized LiNdI5 structure.

Space-group type: No. 15
Volume (Å³/f.u.): 304.3
Crystal system: monoclinic
Raw total energy (eV/atom): -3.067

a b c (Å): 8.4705 8.4705 10.2058
angles (deg): 113.41 113.41 72.88
With the nearest neighbours (Å) after each atom.
Fractional positions:
Li (0.0000, 0.0000, 0.0000)  4 I 2.76-2.96
Li (0.0000, 0.0000, 0.5000)  4 I 2.76-2.96
Nd (0.4298, 0.5702, 0.7500)  7 I 3.09-3.28
Nd (0.5702, 0.4298, 0.2500)  7 I 3.09-3.28
I (0.1051, 0.8949, 0.7500)  2 Li 2.76
I (0.2282, 0.2592, 0.6008)  1 Li 2.96, 1 Nd 3.09
I (0.2592, 0.2282, 0.1008)  1 Li 2.96, 1 Nd 3.09
I (0.3052, 0.6686, 0.4397)  2 Nd 3.25-3.28, 1 Li 3.25
I (0.3314, 0.6948, 0.0603)  2 Nd 3.25-3.28, 1 Li 3.25
I (0.6686, 0.3052, 0.9397)  2 Nd 3.25-3.28, 1 Li 3.25
I (0.6948, 0.3314, 0.5603)  2 Nd 3.25-3.28, 1 Li 3.25
I (0.7408, 0.7718, 0.8992)  1 Li 2.96, 1 Nd 3.09
I (0.7718, 0.7408, 0.3992)  1 Li 2.96, 1 Nd 3.09
I (0.8949, 0.1051, 0.2500)  2 Li 2.76

Q: Among the records above, which one has the highest raw total energy?
A: SrMg10Ag2